Computed, not measured: Ac2PmSmS6 after structural relaxation at the PBE level of DFT.

## Properties
- energy (eV/atom) = -6.3326
- size of the total moment (μB/cell) = 0.0
- calculated volume (Å³/cell) = 891.33
- formation energy from raw total energies (meV/atom) = -2087.4

a b c (Å): 7.3649 7.3649 18.9748
angles (deg): 90.00 90.00 120.00
Closest atoms and distances in Å follow each position.
Space group R3 (No. 146, hexagonal axes)
One atom of each set of equivalent atoms:
1 Ac 0.0000 0.0000 0.0000 [3 per cell]  6 S 2.97-3.04
2 Ac 0.0000 0.0000 0.4997 [3 per cell]  6 S 2.97-3.04
3 Pm 0.0000 0.0000 0.2128 [3 per cell]  6 S 2.78-2.87
4 Sm 0.0000 0.0000 0.7124 [3 per cell]  6 S 2.77-2.85
5 S 0.0585 0.3591 0.7799 [9 per cell]  1 Sm 2.77, 1 Pm 2.87, 2 Ac 2.97-3.04
6 S 0.0590 0.6979 0.2801 [9 per cell]  1 Pm 2.78, 1 Sm 2.85, 2 Ac 2.97-3.04

Computed, not measured: LuBe2Ir after structural relaxation at the PBE level of DFT.

## Properties
- energy (eV/atom) = -5.7446
- DFT formation energy (meV per atom) = -536
- size of the total moment (μB/cell) = 0.0
- calculated volume (Å³/cell) = 180.10

a b c (Å): 3.8526 3.8526 14.0115
angles (deg): 90.00 90.00 120.00
Closest atoms and distances in Å follow each position.
Space group R-3m (No. 166, hexagonal axes)
One atom of each set of equivalent atoms:
1 Lu 0.0000 0.0000 0.0000 [3 per cell]  8 Be 2.79-2.91
2 Be 0.0000 0.0000 0.1993 [6 per cell]  3 Ir 2.27, 3 Be 2.41
3 Ir 0.0000 0.0000 0.5000 [3 per cell]  6 Be 2.27

Computed, not measured: Y2AlCu12Ni3 after structural relaxation at the PBE level of DFT.

## Properties
- energy (eV/atom) = -4.6252
- DFT formation energy (meV per atom) = -5
- size of the total moment (μB/cell) = 0.0
- calculated volume (Å³/cell) = 760.44

a b c (Å): 8.4501 8.4501 12.2975
angles (deg): 90.00 90.00 120.00
Closest atoms and distances in Å follow each position.
Space group R-3m (No. 166, hexagonal axes)
One atom of each set of equivalent atoms:
1 Y 0.0000 0.0000 0.2437 [6 per cell]  3 Ni 2.68, 6 Cu 2.82-2.95
2 Al 0.0000 0.0000 0.5000 [3 per cell]  6 Cu 2.37
3 Cu 0.0170 0.5085 0.2079 [18 per cell]  1 Al 2.37, 5 Cu 2.41-2.53, 1 Ni 2.56
4 Cu 0.0503 0.5251 0.6004 [18 per cell]  6 Cu 2.41-2.63
5 Ni 0.0000 0.5000 0.0000 [9 per cell]  10 Cu 2.56-2.84, 2 Y 2.68